Below is a relaxed structure of Ag2WF, with properties calculated at the PBE with a Hubbard U level.

Lattice parameters (Å, degrees): 6.0491 6.0491 6.0491 99.48 99.48 132.12
Positions (direct):
Ag1 0.0746 0.6250 0.9496
Ag2 0.3750 0.3246 0.4496
Ag3 0.6754 0.1250 0.0504
Ag4 0.8750 0.9254 0.5504
W1 0.2500 0.7500 0.5000
W2 0.5000 0.5000 0.0000
F1 0.0000 0.0000 0.0000
F2 0.7500 0.2500 0.5000

Output
DFT total energy = -3.58 eV per atom
Symmetry = I-42d
Excess energy over the best structure of this formula in the dataset = 0 meV per atom
Size of the total moment = 3.629 μB per formula unit